Record 1
Material: Ag2AsPt
Method: DFT, meta-GGA SCAN
State: PBEsol geometry

Values from the calculation:
Crystal system: trigonal
Raw total energy in eV/cell: -459.35

a = 2.9534 Å, b = 2.9534 Å, c = 26.4642 Å
α = 90.00°, β = 90.00°, γ = 120.00°
Space group R3m (No. 160, hexagonal axes)
Symmetry-distinct sites (fractional):
Ag1 0.0000 0.0000 0.0000 [3 per cell]
Ag2 0.0000 0.0000 0.2477 [3 per cell]
As1 0.0000 0.0000 0.4905 [3 per cell]
Pt1 0.0000 0.0000 0.7526 [3 per cell]

=====

Record 2
Material: TeIr2Rh
Method: DFT, meta-GGA SCAN
State: PBEsol geometry

Values from the calculation:
Crystal system: orthorhombic
Formation energy from raw total energies in eV/f.u.: 1.56

a = 2.892 Å, b = 4.562 Å, c = 9.565 Å
α = 90.00°, β = 90.00°, γ = 90.00°
Space group Immm (No. 71)
Symmetry-distinct sites (fractional):
Te1 0.000 0.000 0.000 [2 per cell]
Ir1 0.000 0.500 0.265 [4 per cell]
Rh1 0.000 0.000 0.500 [2 per cell]

=====

Record 3
Material: Tb2Ti2S2O5
Method: DFT, meta-GGA SCAN
State: PBEsol geometry

Values from the calculation:
Crystal system: tetragonal
Formation energy from raw total energies in eV/f.u.: -35.21

a = 3.766 Å, b = 3.766 Å, c = 22.685 Å
α = 90.00°, β = 90.00°, γ = 90.00°
Space group I4/mmm (No. 139)
Symmetry-distinct sites (fractional):
Tb1 0.000 0.000 0.167 [4 per cell]
Ti1 0.000 0.000 0.421 [4 per cell]
S1 0.000 0.000 0.294 [4 per cell]
O1 0.000 0.000 0.500 [2 per cell]
O2 0.000 0.500 0.100 [8 per cell]